Record 1
! CaLa2ScOs (PBE, relaxed); values from VASP
&SYSTEM
  ibrav = 0, nat = 5, ntyp = 4
/
ATOMIC_SPECIES
La 138.91 La.upf
Ca 40.08 Ca.upf
Os 190.23 Os.upf
Sc 44.96 Sc.upf
CELL_PARAMETERS angstrom
-2.815 -2.865 4.013
4.876 -2.304 1.776
0.676 3.997 3.328
ATOMIC_POSITIONS crystal
La 0.500 0.000 0.000
La 0.000 0.500 0.000
Ca 0.500 0.500 0.500
Os 0.000 0.000 0.000
Sc 0.000 0.000 0.500
! - Formation energy: -0.071 eV per atom
! - Volume: 33.809 A^3/atom
! - Magnetic moment: 0.00 μB per cell
! - DFT total energy: -5.95 eV/atom

=====

Record 2
! Ac2SmPd (PBE, relaxed); values from VASP
&SYSTEM
  ibrav = 0, nat = 4, ntyp = 3
/
ATOMIC_SPECIES
Sm 150.36 Sm.upf
Pd 106.42 Pd.upf
Ac 227.00 Ac.upf
CELL_PARAMETERS angstrom
3.874 0.000 0.000
0.000 3.874 0.000
0.000 0.000 8.994
ATOMIC_POSITIONS crystal
Sm 0.500 0.500 0.500
Pd 0.500 0.500 0.000
Ac 0.000 0.000 0.202
Ac 0.000 0.000 0.798
! - Formation energy: -0.301 eV per atom
! - Energy relative to the lowest polymorph listed for this composition: 0.0894 eV per atom
! - Volume: 33.750 A^3/atom
! - Magnetic moment: 0.00 μB per cell
! - DFT total energy: -4.83 eV/atom

=====

Record 3
! K4Np3Te8 (PBE, relaxed); values from VASP
&SYSTEM
  ibrav = 0, nat = 15, ntyp = 3
/
ATOMIC_SPECIES
Te 127.60 Te.upf
Np 237.00 Np.upf
K 39.10 K.upf
CELL_PARAMETERS angstrom
-8.077 -1.307 4.110
-0.733 0.990 9.073
-4.872 8.432 3.307
ATOMIC_POSITIONS crystal
Te 0.801 0.251 0.697
Te 0.251 0.251 0.697
Te 0.251 0.801 0.697
Te 0.749 0.199 0.303
Te 0.199 0.749 0.303
Te 0.772 0.772 0.685
Te 0.228 0.228 0.315
Te 0.749 0.749 0.303
Np 0.000 0.500 0.500
Np 0.500 0.000 0.500
Np 0.000 0.000 0.500
K 0.643 0.643 0.070
K 0.357 0.357 0.930
K 0.000 0.000 0.000
K 0.500 0.500 0.500
! - Formation energy (no corrections): -0.79 eV per atom
! - Volume: 42.699 A^3/atom
! - Magnetic moment: 9.00 μB per cell
! - DFT total energy: -5.35 eV/atom